The following is a meta-GGA SCAN calculation of BeIr2Os at its PBEsol-relaxed geometry, from Alexandria.

Computed properties:
The formation energy is -54 meV/atom. The calculation puts the total magnetic moment at 0.000 μB per cell. As for the crystal system: orthorhombic.

The structure in CIF format:
```
data_BeIr2Os
_cell_length_a 5.2926
_cell_length_b 7.4047
_cell_length_c 2.6840
_cell_angle_alpha 90.00
_cell_angle_beta 90.00
_cell_angle_gamma 90.00
_space_group_name_H-M_alt 'C m m m'
_space_group_IT_number 65
_space_group_name_Hall '-C 2 2'
loop_
_atom_site_label
_atom_site_type_symbol
_atom_site_fract_x
_atom_site_fract_y
_atom_site_fract_z
Be1 Be 0.0000 0.0000 0.0000
Ir1 Ir 0.2500 0.2500 0.5000
Os1 Os 0.0000 0.5000 0.0000
```

---

The following is a meta-GGA SCAN calculation of Ca4C5 at its PBEsol-relaxed geometry, from Alexandria.

Computed properties:
The formation energy is 579 meV/atom. The calculation puts the total magnetic moment at 0.515 μB per cell. As for the crystal system: tetragonal.

The structure in CIF format:
```
data_Ca4C5
_cell_length_a 9.8870
_cell_length_b 9.8870
_cell_length_c 2.7340
_cell_angle_alpha 90.00
_cell_angle_beta 90.00
_cell_angle_gamma 90.00
_space_group_name_H-M_alt 'I 4/m m m'
_space_group_IT_number 139
_space_group_name_Hall '-I 4 2'
loop_
_atom_site_label
_atom_site_type_symbol
_atom_site_fract_x
_atom_site_fract_y
_atom_site_fract_z
Ca1 Ca 0.0000 0.2355 0.0000
C1 C 0.0000 0.0000 0.0000
C2 C 0.2288 0.2288 0.5000
```

---

The following is a meta-GGA SCAN calculation of CdTc2Mo at its PBEsol-relaxed geometry, from Alexandria.

Computed properties:
The formation energy is 467 meV/atom. The calculation puts the total magnetic moment at 0.001 μB per cell. As for the crystal system: monoclinic.

The structure in CIF format:
```
data_CdTc2Mo
_cell_length_a 5.6058
_cell_length_b 9.0165
_cell_length_c 2.6691
_cell_angle_alpha 90.00
_cell_angle_beta 114.09
_cell_angle_gamma 90.00
_space_group_name_H-M_alt 'C 1 2/m 1'
_space_group_IT_number 12
loop_
_space_group_symop_operation_xyz
'x,y,z'
'-x,-y,-z'
'-x,y,-z'
'x,-y,z'
'x+1/2,y+1/2,z'
'-x+1/2,-y+1/2,-z'
'-x+1/2,y+1/2,-z'
'x+1/2,-y+1/2,z'
loop_
_atom_site_label
_atom_site_type_symbol
_atom_site_fract_x
_atom_site_fract_y
_atom_site_fract_z
Cd1 Cd 0.0000 0.0000 0.0000
Tc1 Tc 0.2500 0.2500 0.5000
Mo1 Mo 0.0000 0.5000 0.0000
```

---

The following is a meta-GGA SCAN calculation of Sr6Ge5N2 at its PBEsol-relaxed geometry, from Alexandria.

Computed properties:
The calculation puts the total magnetic moment at 0.000 μB per cell. For the uncorrected formation energy, the calculation gives -762 meV/atom. As for the crystal system: orthorhombic.

The structure in CIF format:
```
data_Sr6Ge5N2
_cell_length_a 3.9881
_cell_length_b 17.8302
_cell_length_c 9.0240
_cell_angle_alpha 90.00
_cell_angle_beta 90.00
_cell_angle_gamma 90.00
_space_group_name_H-M_alt 'P m m n'
_space_group_IT_number 59
loop_
_space_group_symop_operation_xyz
'x,y,z'
'-x,-y,-z'
'-x+1/2,-y+1/2,z'
'x+1/2,y+1/2,-z'
'x+1/2,-y,-z'
'-x+1/2,y,z'
'-x,y+1/2,-z'
'x,-y+1/2,z'
loop_
_atom_site_label
_atom_site_type_symbol
_atom_site_fract_x
_atom_site_fract_y
_atom_site_fract_z
Sr1 Sr 0.2500 0.0657 0.1136
Sr2 Sr 0.2500 0.2500 0.7605
Sr3 Sr 0.2500 0.6100 0.5370
Sr4 Sr 0.2500 0.7500 0.8384
Ge1 Ge 0.2500 0.0554 0.7360
Ge2 Ge 0.2500 0.2500 0.4220
Ge3 Ge 0.2500 0.6199 0.1449
N1 N 0.2500 0.1664 0.2932
```

---

The following is a meta-GGA SCAN calculation of CrCoRe2 at its PBEsol-relaxed geometry, from Alexandria.

Computed properties:
The formation energy is 88 meV/atom. The calculation puts the total magnetic moment at 0.666 μB per cell. The calculation puts the energy above the most stable polymorph in this dataset at 84.8 meV per atom. As for the crystal system: tetragonal.

The structure in CIF format:
```
data_CrCoRe2
_cell_length_a 3.7402
_cell_length_b 3.7402
_cell_length_c 3.6052
_cell_angle_alpha 90.00
_cell_angle_beta 90.00
_cell_angle_gamma 90.00
_space_group_name_H-M_alt 'P 4/m m m'
_space_group_IT_number 123
_space_group_name_Hall '-P 4 2'
loop_
_atom_site_label
_atom_site_type_symbol
_atom_site_fract_x
_atom_site_fract_y
_atom_site_fract_z
Cr1 Cr 0.0000 0.0000 0.0000
Co1 Co 0.5000 0.5000 0.0000
Re1 Re 0.0000 0.5000 0.5000
```

---

The following is a meta-GGA SCAN calculation of Mg2FeAg at its PBEsol-relaxed geometry, from Alexandria.

Computed properties:
The formation energy is 105 meV/atom. The calculation puts the total magnetic moment at 5.712 μB per cell. As for the crystal system: tetragonal.

The structure in CIF format:
```
data_Mg2FeAg
_cell_length_a 3.9526
_cell_length_b 3.9526
_cell_length_c 8.4000
_cell_angle_alpha 90.00
_cell_angle_beta 90.00
_cell_angle_gamma 90.00
_space_group_name_H-M_alt 'I -4 m 2'
_space_group_IT_number 119
_space_group_name_Hall 'I -4 -2'
loop_
_atom_site_label
_atom_site_type_symbol
_atom_site_fract_x
_atom_site_fract_y
_atom_site_fract_z
Mg1 Mg 0.0000 0.0000 0.0000
Mg2 Mg 0.0000 0.5000 0.2500
Fe1 Fe 0.0000 0.5000 0.7500
Ag1 Ag 0.0000 0.0000 0.5000
```

---

The following is a meta-GGA SCAN calculation of MgMoBr2 at its PBEsol-relaxed geometry, from Alexandria.

Computed properties:
The calculation puts the total magnetic moment at 6.506 μB per cell. For the uncorrected formation energy, the calculation gives 452 meV/atom. The calculation puts the energy above the most stable polymorph in this dataset at 641.1 meV per atom. As for the crystal system: cubic.

The structure in CIF format:
```
data_MgMoBr2
_cell_length_a 6.6017
_cell_length_b 6.6017
_cell_length_c 6.6017
_cell_angle_alpha 90.00
_cell_angle_beta 90.00
_cell_angle_gamma 90.00
_space_group_name_H-M_alt 'F m -3 m'
_space_group_IT_number 225
_space_group_name_Hall '-F 4 2 3'
loop_
_atom_site_label
_atom_site_type_symbol
_atom_site_fract_x
_atom_site_fract_y
_atom_site_fract_z
Mg1 Mg 0.0000 0.0000 0.0000
Mo1 Mo 0.0000 0.0000 0.5000
Br1 Br 0.2500 0.2500 0.2500
```

---

The following is a meta-GGA SCAN calculation of K2Cd2S3O12 at its PBEsol-relaxed geometry, from Alexandria.

Computed properties:
The calculation puts the total magnetic moment at 0.000 μB per cell. For the uncorrected formation energy, the calculation gives -1799 meV/atom. The calculation puts the energy above the most stable polymorph in this dataset at 8.7 meV per atom. As for the crystal system: cubic.

The structure in CIF format:
```
data_K2Cd2S3O12
_cell_length_a 10.3051
_cell_length_b 10.3051
_cell_length_c 10.3051
_cell_angle_alpha 90.00
_cell_angle_beta 90.00
_cell_angle_gamma 90.00
_space_group_name_H-M_alt 'P 21 3'
_space_group_IT_number 198
_space_group_name_Hall 'P 2ac 2ab 3'
loop_
_atom_site_label
_atom_site_type_symbol
_atom_site_fract_x
_atom_site_fract_y
_atom_site_fract_z
K1 K 0.0527 0.0527 0.0527
K2 K 0.1903 0.3097 0.6903
Cd1 Cd 0.0814 0.9186 0.4186
Cd2 Cd 0.1743 0.6743 0.8257
S1 S 0.0099 0.2306 0.3749
O1 O 0.0092 0.0989 0.3145
O2 O 0.0187 0.0863 0.7365
O3 O 0.0287 0.8283 0.2226
O4 O 0.0726 0.8589 0.7609
```

---

Number 1: density of states at the Fermi level 5.1 states/eV/cell, electronic total energy -54.6617 eV/atom. Number 2: density of states at the Fermi level 10.5 states/eV/cell, electronic total energy -9.3267 eV/atom. Number 3: density of states at the Fermi level 8.5 states/eV/cell, electronic total energy -33.3882 eV/atom. Number 4: density of states at the Fermi level 2.8 states/eV/cell, electronic total energy -19.8141 eV/atom. Number 5: density of states at the Fermi level 3.5 states/eV/cell, electronic total energy -44.3827 eV/atom. Number 6: density of states at the Fermi level 5.7 states/eV/cell, electronic total energy -14.7565 eV/atom. Number 7: density of states at the Fermi level 9.5 states/eV/cell, electronic total energy -19.2427 eV/atom. Number 8: density of states at the Fermi level 0.0 states/eV/cell, electronic total energy -11.3333 eV/atom.